1.
PuAgAs2O8 PBE relaxed; N(E_F) = 6.72 states/eV/cell; SG = P-3m1 (164); E_form (uncorrected) = -1.405 eV per atom; calculated total energy = -6.92 eV per atom
1.0
-1.2621 -4.4850 3.3029
-0.5272 -0.3933 -5.6731
6.4241 -2.1382 -0.4488
O As Ag Pu
8 2 1 1
Direct
0.3333 0.6667 0.4620
0.1706 0.8294 0.8066
0.3412 0.1706 0.1934
0.1706 0.3412 0.8066
0.8294 0.1706 0.1934
0.6588 0.8294 0.8066
0.8294 0.6588 0.1934
0.6667 0.3333 0.5380
0.6667 0.3333 0.2937
0.3333 0.6667 0.7063
0.0000 0.0000 0.5000
0.0000 0.0000 0.0000

---

2.
PuAgAsO5 PBE relaxed; N(E_F) = 9.56 states/eV/cell; SG = C2/c (15); E_form (uncorrected) = -1.697 eV per atom; calculated total energy = -7.53 eV per atom
1.0
-1.6130 -4.1401 4.1651
5.5174 -2.2248 -1.3032
1.0610 7.0629 3.8574
As Ag O Pu
2 2 10 2
Direct
0.6576 0.3424 0.2500
0.3424 0.6576 0.7500
0.6859 0.3141 0.7500
0.3141 0.6859 0.2500
0.3563 0.2787 0.1257
0.8134 0.2850 0.1034
0.9302 0.0698 0.7500
0.7213 0.6437 0.3743
0.2850 0.8134 0.6034
0.7150 0.1866 0.3966
0.0698 0.9302 0.2500
0.2787 0.3563 0.6257
0.6437 0.7213 0.8743
0.1866 0.7150 0.8966
0.0000 0.0000 0.5000
0.0000 0.0000 0.0000

---

3.
RbAgAsO4 PBE relaxed; N(E_F) = 1.21 states/eV/cell; SG = I-4 (82); E_form (uncorrected) = -1.013 eV per atom; calculated total energy = -5.06 eV per atom
1.0
6.3035 0.0000 0.0000
0.0000 6.3035 0.0000
-3.1518 -3.1518 3.5604
O Rb Ag As
4 1 1 1
Direct
0.2617 0.0792 0.7630
0.9208 0.4986 0.2370
0.3161 0.7383 0.2370
0.5014 0.6839 0.7630
0.0000 0.0000 0.0000
0.5000 0.5000 0.0000
0.2500 0.7500 0.5000

---

4.
RbAgAs2O6 PBE relaxed; N(E_F) = 0.00 states/eV/cell; SG = C2/c (15); E_form (uncorrected) = -1.158 eV per atom; calculated total energy = -5.44 eV per atom
1.0
-0.3878 3.3148 -3.7899
-8.2794 1.8054 1.5100
3.1610 6.5995 4.5325
O Rb As Ag
12 2 4 2
Direct
0.7276 0.0506 0.2299
0.2276 0.2299 0.0506
0.9853 0.7052 0.6270
0.6025 0.1949 0.5524
0.0147 0.2948 0.3730
0.4853 0.6270 0.7052
0.2724 0.9494 0.7701
0.3975 0.8051 0.4476
0.7724 0.7701 0.9494
0.5147 0.3730 0.2948
0.1025 0.5524 0.1949
0.8975 0.4476 0.8051
0.7500 0.1239 0.8761
0.2500 0.8761 0.1239
0.2987 0.7933 0.6374
0.2013 0.3626 0.2067
0.7013 0.2067 0.3626
0.7987 0.6374 0.7933
0.2500 0.3357 0.6643
0.7500 0.6643 0.3357

---

5.
Rb2AgAsO4 PBE relaxed; N(E_F) = 0.00 states/eV/cell; SG = Fddd (70); E_form (uncorrected) = -1.207 eV per atom; calculated total energy = -4.87 eV per atom
1.0
5.8244 0.0000 0.0000
2.9122 5.9841 0.0000
2.9122 0.0000 10.3896
O Rb As Ag
8 4 2 2
Direct
0.4697 0.3262 0.5899
0.3642 0.8262 0.0899
0.8096 0.8262 0.9101
0.9404 0.6738 0.5899
0.2803 0.1738 0.9101
0.5459 0.1738 0.0899
0.3858 0.6738 0.4101
0.2041 0.3262 0.4101
0.8206 0.0000 0.3588
0.1794 0.0000 0.6412
0.5706 0.5000 0.8588
0.9294 0.5000 0.1412
0.5000 0.0000 0.0000
0.2500 0.5000 0.5000
0.0000 0.0000 0.0000
0.7500 0.5000 0.5000

---

6.
ReAg2AsO PBE relaxed; N(E_F) = 4.87 states/eV/cell; SG = P4/mmm (123); E_form (uncorrected) = 1.404 eV per atom; calculated total energy = -4.15 eV per atom
1.0
-3.3860 0.4264 -3.4748
0.4482 -4.5804 -0.9987
-3.4700 -1.0487 3.2527
Ag O Re As
2 1 1 1
Direct
0.5000 0.0000 0.0000
0.0000 0.0000 0.5000
0.5000 0.5000 0.5000
0.0000 0.5000 0.0000
0.0000 0.0000 0.0000

---

7.
AgSbAs2O8 PBE relaxed; SG = R32 (155); E_form (uncorrected) = -0.935 eV per atom; calculated total energy = -5.60 eV per atom
1.0
4.8987 0.0000 0.0000
2.4493 4.2424 0.0000
2.4493 1.4141 8.5734
Sb As O Ag
1 2 8 1
Direct
0.5000 0.5000 0.5000
0.7572 0.7572 0.7284
0.2428 0.2428 0.2716
0.5330 0.2448 0.3474
0.4670 0.1253 0.6526
0.3077 0.3077 0.0768
0.8747 0.5330 0.3474
0.1253 0.7552 0.6526
0.6923 0.6923 0.9232
0.2448 0.8747 0.3474
0.7552 0.4670 0.6526
0.0000 0.0000 0.0000

---

8.
AgSbAsO6 PBE relaxed; N(E_F) = 9.69 states/eV/cell; SG = P-31c (163); E_form (uncorrected) = -0.964 eV per atom; calculated total energy = -5.56 eV per atom
1.0
5.1564 0.0000 0.0000
-2.5782 4.4656 0.0000
0.0000 0.0000 9.7136
O Ag Sb As
12 2 2 2
Direct
0.3810 0.0201 0.6411
0.9799 0.3608 0.6411
0.0201 0.3810 0.1411
0.9799 0.6190 0.8589
0.6392 0.0201 0.8589
0.3810 0.3608 0.8589
0.3608 0.3810 0.3589
0.3608 0.9799 0.1411
0.6190 0.9799 0.3589
0.6190 0.6392 0.1411
0.0201 0.6392 0.3589
0.6392 0.6190 0.6411
0.0000 0.0000 0.5000
0.0000 0.0000 0.0000
0.6667 0.3333 0.2500
0.3333 0.6667 0.7500
0.6667 0.3333 0.7500
0.3333 0.6667 0.2500

---

9.
Sc3Ag3AsO8 PBE relaxed; N(E_F) = 1.86 states/eV/cell; SG = C2/m (12); E_form (uncorrected) = -1.894 eV per atom; calculated total energy = -6.68 eV per atom
1.0
6.3421 0.0000 0.0000
-3.1711 5.4896 -0.0388
0.0000 -3.6573 5.8828
O Sc Ag As
8 3 3 1
Direct
0.2159 0.9659 0.6793
0.2154 0.4308 0.6791
0.7249 0.4497 0.6724
0.2500 0.0341 0.3207
0.7500 0.9659 0.6793
0.7841 0.0341 0.3207
0.2751 0.5503 0.3276
0.7846 0.5692 0.3209
0.5000 0.5000 0.5000
0.0000 0.5000 0.5000
0.5000 0.0000 0.5000
0.5000 0.5000 0.0000
0.0000 0.5000 0.0000
0.0000 0.0000 0.0000
0.0000 0.0000 0.5000

---

10.
AgAsSe2O PBE relaxed; N(E_F) = 4.61 states/eV/cell; SG = P4/mmm (123); E_form (uncorrected) = 0.463 eV per atom; calculated total energy = -3.42 eV per atom
1.0
4.6452 0.0000 0.0000
0.0000 4.6452 0.0000
0.0000 0.0000 4.3064
Se Ag As O
2 1 1 1
Direct
0.5000 0.0000 0.0000
0.0000 0.5000 0.0000
0.5000 0.5000 0.5000
0.0000 0.0000 0.5000
0.0000 0.0000 0.0000

---

11.
AgAs2SeO PBE relaxed; N(E_F) = 1.57 states/eV/cell; SG = P4/mmm (123); E_form (uncorrected) = 0.403 eV per atom; calculated total energy = -3.72 eV per atom
1.0
5.2074 0.0000 0.0000
0.0000 3.6430 0.0000
0.0000 0.0000 5.2074
As Se Ag O
2 1 1 1
Direct
0.0000 0.0000 0.5000
0.5000 0.0000 0.0000
0.0000 0.0000 0.0000
0.5000 0.5000 0.5000
0.0000 0.5000 0.0000

---

12.
AgAs2SeO PBE relaxed; N(E_F) = 5.43 states/eV/cell; SG = P4/mmm (123); E_form (uncorrected) = 1.290 eV per atom; calculated total energy = -2.83 eV per atom
1.0
-0.5968 -1.8632 4.6031
4.4195 -2.4863 -0.4334
2.4074 3.9464 1.9095
As Se O Ag
2 1 1 1
Direct
0.0000 0.0000 0.5000
0.5000 0.0000 0.0000
0.0000 0.5000 0.0000
0.5000 0.5000 0.5000
0.0000 0.0000 0.0000

---

Repeat the third record exactly.
RbAgAsO4 PBE relaxed; N(E_F) = 1.21 states/eV/cell; SG = I-4 (82); E_form (uncorrected) = -1.013 eV per atom; calculated total energy = -5.06 eV per atom
1.0
6.3035 0.0000 0.0000
0.0000 6.3035 0.0000
-3.1518 -3.1518 3.5604
O Rb Ag As
4 1 1 1
Direct
0.2617 0.0792 0.7630
0.9208 0.4986 0.2370
0.3161 0.7383 0.2370
0.5014 0.6839 0.7630
0.0000 0.0000 0.0000
0.5000 0.5000 0.0000
0.2500 0.7500 0.5000

---

Question: Look up the calculated total energy of the fifth one.
Answer: -4.87 eV per atom